Entry from the Alexandria database: crystalline Hf2MoPtO at its relaxed geometry (GGA+U).

Values from the calculation:
E, eV/atom: -7.29
Calculated density, Mg/m³: 11.05

a = 5.1396 Å, b = 3.7766 Å, c = 5.1396 Å
α = 90.00°, β = 90.00°, γ = 90.00°
With the nearest neighbours (Å) after each atom.
Fractional positions:
O 0.0000 0.5000 0.0000  2 Mo 1.89
Pt 0.5000 0.5000 0.5000  8 Hf 3.19
Hf 0.0000 0.0000 0.5000  2 Mo 2.57
Hf 0.5000 0.0000 0.0000  2 Mo 2.57
Mo 0.0000 0.0000 0.0000  2 O 1.89